Density functional theory data (meta-GGA SCAN) for a PBEsol-optimized structure of Ba3ReC.

Calculated values
Its space-group type is No. 221. The calculation puts the density of states at the Fermi level at 3.729 states/eV/f.u. The value obtained for the volume is 161 Å³/cell. The energy relative to the elements comes out at 1.34 eV/atom. The energy is -38.625 eV/atom.

Lattice parameters (Å, degrees): 5.4443 5.4443 5.4443 90.00 90.00 90.00
With the nearest neighbours (Å) after each atom.
Positions (direct):
Ba (0.0000, 0.5000, 0.0000)  2 C 2.72
Re (0.5000, 0.5000, 0.5000)  12 Ba 3.85
C (0.0000, 0.0000, 0.0000)  6 Ba 2.72
Ba (0.0000, 0.0000, 0.5000)  2 C 2.72
Ba (0.5000, 0.0000, 0.0000)  2 C 2.72